6
Lattice="5.398 0.000 0.000 0.000 3.387 0.000 0.000 1.694 8.354" Properties=species:S:1:pos:R:3 comment="NdScSi | the Alexandria database | GGA-PBE | relaxed" dft_energy_ev_per_fu=-17.05 crystal_system=orthorhombic vol_a3_per_atom=25.46 raw_formation_energy_ev_per_atom=-0.18 relative_energy_mev_per_atom=444 dos_ef_per_ev_fu=3.0 m_tot_mub_per_atom=0.12 pbc="T T T"
Sc 0.000 0.000 0.000
Si 4.048 3.387 2.467
Sc 2.699 0.000 0.000
Si 1.349 1.694 5.887
Nd 4.048 3.387 5.475
Nd 1.349 1.694 2.879